Entry from the Alexandria database: a relaxed structure of V2ZnHRh (PBE).

abc: 3.7101 3.7101 4.1143
angles: 90.00 90.00 90.00
Space group P4/mmm (No. 123)
Inequivalent atoms, fractional coordinates:
V 0.0000 0.5000 0.0000 x2
Zn 0.0000 0.0000 0.5000 x1
H 0.0000 0.0000 0.0000 x1
Rh 0.5000 0.5000 0.5000 x1

## Properties
For the spin magnetization, the calculation gives 0.0 μB per formula unit. As for the energy above the most stable polymorph in this dataset: 0.0243 eV per atom.